# ThNbCo

An optimized crystal structure of ThNbCo (PBE, OQMD).

Output
excess energy over the best structure of this formula in the dataset	0.000	eV per atom
DFT formation energy	344	meV per atom
volume	21.894	Å³ per atom

a b c (Å): 6.4047 6.4047 6.4047
angles (deg): 90.00 90.00 90.00
With the nearest neighbours (Å) after each atom.
Space group F-43m (No. 216)
Symmetry-distinct sites (fractional):
1 Th 0.0000 0.0000 0.0000 [4 per cell]  4 Co 2.77
2 Nb 0.0000 0.0000 0.5000 [4 per cell]  4 Co 2.77
3 Co 0.2500 0.2500 0.7500 [4 per cell]  4 Nb 2.77, 4 Th 2.77